No. 1
Pm5SnIr4: optimized geometry, PBE-GGA.

## Properties
Fermi-level density of states, states/eV per atom: 0.743
ΔH_f (0 K), eV per atom: -0.615

Cell: 3.447 3.447 19.526 Å, 90.00 90.00 90.00°
Positions (direct):
Pm (0.000, 0.000, 0.000)
Pm (0.000, 0.000, 0.188)
Pm (0.000, 0.000, 0.374)
Pm (0.000, 0.000, 0.626)
Pm (0.000, 0.000, 0.812)
Sn (0.500, 0.500, 0.500)
Ir (0.500, 0.500, 0.095)
Ir (0.500, 0.500, 0.283)
Ir (0.500, 0.500, 0.717)
Ir (0.500, 0.500, 0.905)

=====

No. 2
LiCeGe2Pt5: optimized geometry, PBE-GGA.

## Properties
Fermi-level density of states, states/eV per atom: 0.608
ΔH_f (0 K), eV per atom: -0.712

Cell: 4.168 4.168 9.382 Å, 90.00 90.00 90.00°
Positions (direct):
Li (0.000, 0.000, 0.000)
Ce (0.000, 0.000, 0.500)
Ge (0.500, 0.500, 0.129)
Ge (0.500, 0.500, 0.871)
Pt (0.000, 0.500, 0.274)
Pt (0.000, 0.500, 0.726)
Pt (0.500, 0.000, 0.274)
Pt (0.500, 0.000, 0.726)
Pt (0.500, 0.500, 0.500)

=====

No. 3
RbAg4Te4: optimized geometry, PBE-GGA.

## Properties
E_form (uncorrected), eV/atom: -0.183
Fermi-level density of states, states/eV per atom: 0.366

Cell: 9.590 9.590 5.949 Å, 90.00 90.00 90.00°
Positions (direct):
Rb (0.250, 0.250, 0.250)
Rb (0.750, 0.750, 0.750)
Ag (0.083, 0.595, 0.149)
Ag (0.095, 0.917, 0.649)
Ag (0.405, 0.583, 0.649)
Ag (0.417, 0.905, 0.149)
Ag (0.583, 0.095, 0.851)
Ag (0.595, 0.417, 0.351)
Ag (0.905, 0.083, 0.351)
Ag (0.917, 0.405, 0.851)
Te (0.104, 0.895, 0.152)
Te (0.105, 0.604, 0.652)
Te (0.395, 0.896, 0.652)
Te (0.396, 0.605, 0.152)
Te (0.604, 0.395, 0.848)
Te (0.605, 0.104, 0.348)
Te (0.895, 0.396, 0.348)
Te (0.896, 0.105, 0.848)

=====

No. 4
Li2ErBr5: optimized geometry, PBE-GGA.

## Properties
E_form (uncorrected), eV/atom: -1.636
Fermi-level density of states, states/eV per atom: 0.000

Cell: 7.444 7.444 7.118 Å, 115.31 115.31 67.57°
Positions (direct):
Li (0.220, 0.780, 0.000)
Li (0.780, 0.220, 0.000)
Er (0.148, 0.148, 0.513)
Br (0.050, 0.050, 0.780)
Br (0.396, 0.396, 0.875)
Br (0.468, 0.930, 0.370)
Br (0.908, 0.908, 0.136)
Br (0.930, 0.468, 0.370)

=====

No. 5
LaDy2Al6: optimized geometry, PBE-GGA.

## Properties
Distance to the lowest polymorph of the same formula, eV/f.u.: 1.65
Fermi-level density of states, states/eV per atom: 0.509
ΔH_f (0 K), eV per atom: -0.281

Cell: 7.937 7.937 7.937 Å, 147.44 125.02 65.37°
Positions (direct):
La (0.000, 0.000, 0.000)
Dy (0.376, 0.876, 0.500)
Dy (0.624, 0.124, 0.500)
Al (0.011, 0.314, 0.697)
Al (0.321, 0.500, 0.821)
Al (0.383, 0.686, 0.697)
Al (0.617, 0.314, 0.303)
Al (0.679, 0.500, 0.179)
Al (0.989, 0.686, 0.303)

=====

No. 6
ScAg2Mo: optimized geometry, PBE-GGA.

## Properties
Distance to the lowest polymorph of the same formula, eV/f.u.: 0.56
Fermi-level density of states, states/eV per atom: 1.047
ΔH_f (0 K), eV per atom: 0.283

Cell: 3.325 4.472 4.815 Å, 90.00 90.00 90.00°
Positions (direct):
Sc (0.000, 0.000, 0.000)
Ag (0.000, 0.500, 0.500)
Ag (0.500, 0.000, 0.500)
Mo (0.500, 0.500, 0.000)

=====

Among the records above, which one has the highest Fermi-level density of states? ScAg2Mo